(1)
A plane-wave DFT calculation with GGA-PBE was carried out for a relaxed CaHBr crystal.

a b c (Å): 8.107 7.664 6.931
angles (deg): 67.27 60.68 52.05
Positions (direct):
Ca 0.104 0.646 0.646
Ca 0.354 0.896 0.896
Ca 0.646 0.104 0.104
Ca 0.896 0.354 0.354
H 0.000 0.000 0.000
H 0.000 0.000 0.500
H 0.000 0.500 0.000
H 0.500 0.000 0.000
Br 0.230 0.230 0.520
Br 0.480 0.480 0.770
Br 0.520 0.520 0.230
Br 0.770 0.770 0.480

Values from the calculation:
The calculation puts the total energy at -41.5 eV/cell. Its total moment is 0.00 μB per formula unit. The mass density comes out at 2.7 g/cm3. The value obtained for the density of states at the Fermi level is 0.0000 states/eV per atom.



(2)
A plane-wave DFT calculation with GGA-PBE was carried out for a relaxed Nd4Sm5Sc crystal.

a b c (Å): 8.086 8.086 8.086
angles (deg): 98.11 98.11 135.89
Positions (direct):
Nd 0.000 0.322 0.322
Nd 0.000 0.678 0.678
Nd 0.322 0.000 0.322
Nd 0.678 0.000 0.678
Sm 0.278 0.278 0.629
Sm 0.278 0.650 0.000
Sm 0.650 0.278 0.000
Sm 0.650 0.650 0.371
Sm 0.757 0.757 0.000
Sc 0.222 0.222 0.000

Values from the calculation:
The polymorph energy (0 for the lowest one) comes out at 0.000 eV per atom. For the formation energy, the calculation gives 204 meV/atom. Its total moment is 0.00 μB per formula unit. The mass density comes out at 6.7 g/cm3. The value obtained for the density of states at the Fermi level is 1.3281 states/eV per atom.



(3)
A plane-wave DFT calculation with GGA-PBE was carried out for a relaxed AlSe5 crystal.

a b c (Å): 6.864 6.864 6.817
angles (deg): 98.13 98.13 29.86
Positions (direct):
Al 0.000 0.000 0.000
Se 0.119 0.119 0.333
Se 0.374 0.374 0.016
Se 0.487 0.487 0.519
Se 0.603 0.603 0.823
Se 0.741 0.741 0.240

Values from the calculation:
The polymorph energy (0 for the lowest one) comes out at 0.000 eV per atom. Its raw formation energy is -173 meV/atom. Its total moment is 0.00 μB per formula unit. The mass density comes out at 4.4 g/cm3. The value obtained for the density of states at the Fermi level is 0.2465 states/eV per atom.



(4)
A plane-wave DFT calculation with GGA-PBE was carried out for a relaxed TiCd3Ge crystal.

a b c (Å): 5.296 5.296 5.296
angles (deg): 90.00 90.00 90.00
Positions (direct):
Ti 0.000 0.000 0.000
Cd 0.000 0.000 0.500
Cd 0.000 0.500 0.000
Cd 0.500 0.000 0.000
Ge 0.500 0.500 0.500

Values from the calculation:
The polymorph energy (0 for the lowest one) comes out at 0.094 eV per atom. For the formation energy, the calculation gives 938 meV/atom. Its total moment is 1.44 μB per formula unit. The mass density comes out at 5.1 g/cm3. The value obtained for the density of states at the Fermi level is 0.8868 states/eV per atom.



(5)
A plane-wave DFT calculation with GGA-PBE was carried out for a relaxed CaTl2Si crystal.

a b c (Å): 6.760 6.760 6.760
angles (deg): 101.53 101.53 126.89
Positions (direct):
Ca 0.000 0.000 0.000
Ca 0.750 0.250 0.500
Tl 0.184 0.625 0.059
Tl 0.375 0.434 0.559
Tl 0.566 0.125 0.941
Tl 0.875 0.816 0.441
Si 0.250 0.750 0.500
Si 0.500 0.500 0.000

Values from the calculation:
The polymorph energy (0 for the lowest one) comes out at 0.040 eV per atom. Its raw formation energy is -15 meV/atom. Its total moment is 0.00 μB per formula unit. The mass density comes out at 7.2 g/cm3. The value obtained for the density of states at the Fermi level is 0.2482 states/eV per atom.



(6)
A plane-wave DFT calculation with GGA-PBE was carried out for a relaxed AcEuNiBi crystal.

a b c (Å): 5.530 5.530 5.530
angles (deg): 60.00 60.00 60.00
Positions (direct):
Ac 0.000 0.000 0.000
Eu 0.500 0.500 0.500
Ni 0.250 0.250 0.250
Bi 0.750 0.750 0.750

Values from the calculation:
For the formation energy, the calculation gives -350 meV/atom. Its total moment is 7.03 μB per formula unit. The mass density comes out at 9.0 g/cm3. The value obtained for the density of states at the Fermi level is 0.0636 states/eV per atom.



(7)
A plane-wave DFT calculation with GGA-PBE was carried out for a relaxed As2WCl crystal.

a b c (Å): 2.896 2.896 9.862
angles (deg): 90.00 90.00 107.16
Positions (direct):
As 0.000 0.000 0.202
As 0.000 0.000 0.798
W 0.500 0.500 0.000
Cl 0.500 0.500 0.500

Values from the calculation:
The polymorph energy (0 for the lowest one) comes out at 0.314 eV per atom. Its raw formation energy is 292 meV/atom. Its total moment is 0.00 μB per formula unit. The mass density comes out at 7.8 g/cm3. The value obtained for the density of states at the Fermi level is 0.6642 states/eV per atom.



(8)
A plane-wave DFT calculation with GGA-PBE was carried out for a relaxed LaZr2Tl crystal.

a b c (Å): 3.326 3.326 9.625
angles (deg): 90.00 90.00 90.00
Positions (direct):
La 0.000 0.000 0.000
Zr 0.000 0.000 0.501
Zr 0.500 0.500 0.719
Tl 0.500 0.500 0.267

Values from the calculation:
The polymorph energy (0 for the lowest one) comes out at 0.000 eV per atom. For the formation energy, the calculation gives -30 meV/atom. Its total moment is 0.00 μB per formula unit. The mass density comes out at 8.2 g/cm3. The value obtained for the density of states at the Fermi level is 1.1469 states/eV per atom.